2
Lattice="-0.084 -0.288 -3.426 2.280 -2.007 -1.613 -2.158 -4.348 -1.307" Properties=species:S:1:pos:R:3 comment="ScTl | Alexandria | PBEsol | optimized geometry" mass_density_g_cm3=8.75 volume_a3_per_atom=23.7 delta_e_f_kj_per_mol_atoms=-25.3 pbc="T T T"
Sc 0.000 0.000 0.000
Tl 0.018 -3.322 -3.173